A relaxed YMgW crystal, computed with PBE-GGA.

Cell lengths 7.637, 7.637, 7.637 Å; angles 157.65, 157.65, 31.82 degrees
Element x y z (fractional)
Y  0.000  0.000  0.000
Mg  0.693  0.693  0.000
W  0.340  0.340  0.000

Properties
The total energy is -19.6 eV for the cell shown. As for the space group: No. 107. For the magnetization, the calculation gives 0.00 μB/cell. Its distance to the lowest polymorph of the same formula is 0.000 eV/atom. Its crystal system is tetragonal. The formation energy is 0.48 eV per atom.